Tb4HgIr | PBE-GGA | relaxed

a b c (Å): 13.620 13.620 13.620
angles (deg): 90.00 90.00 90.00
Space group F-43m (No. 216)
Inequivalent atoms, fractional coordinates:
Tb (0.000, 0.000, 0.188) x24
Tb (0.060, 0.250, 0.750) x24
Tb (0.101, 0.101, 0.399) x16
Hg (0.165, 0.165, 0.165) x16
Ir (0.108, 0.108, 0.608) x16

Values from the calculation:
Formation enthalpy at 0 K   -54.7 kJ/mol of atoms
Crystal system   cubic



Tm12Tl5Te2 | PBE-GGA | relaxed

a b c (Å): 16.183 8.380 8.533
angles (deg): 90.00 104.83 90.00
Space group C2/m (No. 12)
Inequivalent atoms, fractional coordinates:
Tm (0.009, 0.000, 0.292) x4
Tm (0.116, 0.500, 0.343) x4
Tm (0.117, 0.201, 0.046) x8
Tm (0.185, 0.212, 0.689) x8
Tl (0.000, 0.500, 0.000) x2
Tl (0.205, 0.000, 0.388) x4
Tl (0.212, 0.500, 0.983) x4
Te (0.000, 0.289, 0.500) x4

Values from the calculation:
E_form (uncorrected)   -28 kJ/mol of atoms
Crystal system   monoclinic



Mg2F | PBE-GGA | relaxed

a b c (Å): 3.139 5.102 6.862
angles (deg): 91.85 98.07 93.91
Space group P1 (No. 1)
Inequivalent atoms, fractional coordinates:
Mg (0.000, 0.000, 0.000) x1
Mg (0.027, 0.934, 0.494) x1
Mg (0.443, 0.531, 0.202) x1
Mg (0.532, 0.509, 0.752) x1
F (0.209, 0.185, 0.290) x1
F (0.970, 0.283, 0.640) x1

Values from the calculation:
E_form (uncorrected)   -141 kJ/mol of atoms
Crystal system   triclinic



Fe2TcSb | PBE-GGA | relaxed

a b c (Å): 3.873 3.873 7.368
angles (deg): 90.00 90.00 90.00
Space group I4/mmm (No. 139)
Inequivalent atoms, fractional coordinates:
Fe (0.000, 0.500, 0.250) x4
Tc (0.000, 0.000, 0.000) x2
Sb (0.000, 0.000, 0.500) x2

Values from the calculation:
E_form (uncorrected)   28 kJ/mol of atoms
Crystal system   tetragonal



| no. | uncorrected energy (eV/atom) | calculated volume (Å³/cell) | total magnetization (μB per formula unit) |
| --- | --- | --- | --- |
| 1 | -5.181 | 2526 | 0.0 |
| 2 | -4.066 | 1119 | 0.0 |
| 3 | -3.150 | 108 | 0.0 |
| 4 | -7.558 | 111 | 1.6 |